Entry 1:
DFT (meta-GGA SCAN) results for a crystal of Li3FeTe relaxed with PBEsol.

Results
- SG: No. 221
- Calculated total energy: -62.0 eV/cell
- Magnetization: 3.06 Bohr magnetons per cell
- Crystal system: cubic
- DOS(E_F): 2.81 states/eV/cell
- Energy relative to the elements, uncorrected: 106 meV/atom

abc: 5.107 5.107 5.107
angles: 90.00 90.00 90.00
Last column: magnetic moment on the atom in μB.
Element x y z (fractional)
Te (0.000, 0.000, 0.000)  0.00
Fe (0.500, 0.500, 0.500)  3.16
Li (0.000, 0.500, 0.000)  -0.01
Li (0.000, 0.000, 0.500)  -0.01
Li (0.500, 0.000, 0.000)  -0.01

Entry 2:
DFT (meta-GGA SCAN) results for a crystal of LiZn2Au relaxed with PBEsol.

Results
- SG: No. 139
- Calculated total energy: -100.3 eV/cell
- Magnetization: 0.00 Bohr magnetons per cell
- Crystal system: tetragonal
- DOS(E_F): 1.05 states/eV/cell
- ΔH_f (0 K): -10.138 kcal/mol of atoms

abc: 3.886 3.886 4.650
angles: 114.70 114.70 90.00
Element x y z (fractional)
Zn (0.750, 0.250, 0.500)
Zn (0.250, 0.750, 0.500)
Au (0.500, 0.500, 0.000)
Li (0.000, 0.000, 0.000)

Entry 3:
DFT (meta-GGA SCAN) results for a crystal of LaTl2Pb relaxed with PBEsol.

Results
- SG: No. 65
- Calculated total energy: -264.1 eV/cell
- Magnetization: 0.00 Bohr magnetons per cell
- Crystal system: orthorhombic
- DOS(E_F): 2.74 states/eV/cell
- ΔH_f (0 K): -2.826 kcal/mol of atoms

abc: 3.447 3.447 10.728
angles: 90.00 90.00 113.92
Element x y z (fractional)
La (0.500, 0.500, 0.500)
Pb (0.500, 0.500, 0.000)
Tl (0.000, 0.000, 0.246)
Tl (0.000, 0.000, 0.754)

Entry 4:
DFT (meta-GGA SCAN) results for a crystal of RbSr3Pt relaxed with PBEsol.

Results
- SG: No. 221
- Calculated total energy: -159.9 eV/cell
- Magnetization: 0.05 Bohr magnetons per cell
- Crystal system: cubic
- DOS(E_F): 3.24 states/eV/cell
- ΔH_f (0 K): -9.827 kcal/mol of atoms

abc: 6.047 6.047 6.047
angles: 90.00 90.00 90.00
Element x y z (fractional)
Sr (0.000, 0.500, 0.000)
Sr (0.000, 0.000, 0.500)
Sr (0.500, 0.000, 0.000)
Rb (0.500, 0.500, 0.500)
Pt (0.000, 0.000, 0.000)